Below is an optimized crystal structure of Ca12In3O5, with properties calculated at the PBE level.

Uncorrected energy   -345.0 eV for the cell shown
Formation energy without anion corrections   -1461 meV/atom
ρ   2.939 g/cm³

a = 13.852 Å, b = 13.852 Å, c = 13.852 Å
α = 109.47°, β = 109.47°, γ = 109.47°
Fractional positions:
Ca  0.009  0.612  0.696
In  0.625  0.375  0.750
O  0.875  0.250  0.625
In  0.875  0.750  0.125
Ca  0.603  0.612  0.417
Ca  0.388  0.397  0.083
Ca  0.888  0.583  0.897
In  0.875  0.125  0.250
Ca  0.112  0.696  0.509
Ca  0.388  0.991  0.804
Ca  0.083  0.897  0.388
Ca  0.509  0.196  0.112
Ca  0.397  0.388  0.583
Ca  0.491  0.804  0.888
O  0.000  0.000  0.500
Ca  0.186  0.083  0.696
O  0.750  0.125  0.875
O  0.125  0.750  0.375
Ca  0.612  0.603  0.917
Ca  0.603  0.991  0.686
In  0.375  0.625  0.250
Ca  0.897  0.814  0.509
Ca  0.314  0.509  0.397
In  0.250  0.625  0.875
Ca  0.814  0.897  0.009
O  0.250  0.875  0.125
Ca  0.103  0.186  0.491
In  0.750  0.375  0.125
Ca  0.897  0.083  0.888
Ca  0.917  0.103  0.612
Ca  0.509  0.314  0.897
O  0.625  0.750  0.875
Ca  0.314  0.804  0.417
Ca  0.491  0.686  0.103
In  0.125  0.875  0.750
Ca  0.991  0.388  0.304
O  0.500  0.500  0.500
Ca  0.696  0.583  0.186
Ca  0.304  0.417  0.814
Ca  0.888  0.304  0.491
In  0.250  0.125  0.375
In  0.375  0.750  0.625
Ca  0.103  0.917  0.112
Ca  0.917  0.814  0.804
Ca  0.009  0.397  0.814
Ca  0.583  0.888  0.397
In  0.625  0.250  0.375
Ca  0.083  0.186  0.196
Ca  0.583  0.696  0.686
Ca  0.804  0.491  0.388
O  0.500  0.000  0.500
Ca  0.417  0.304  0.314
O  0.250  0.375  0.625
Ca  0.196  0.509  0.612
O  0.000  0.000  0.000
In  0.750  0.875  0.625
O  0.625  0.875  0.250
Ca  0.304  0.888  0.991
Ca  0.196  0.686  0.083
Ca  0.686  0.491  0.603
O  0.375  0.250  0.125
Ca  0.112  0.417  0.103
O  0.000  0.500  0.000
Ca  0.612  0.009  0.196
O  0.375  0.125  0.750
O  0.000  0.500  0.500
Ca  0.991  0.603  0.186
Ca  0.397  0.009  0.314
Ca  0.814  0.917  0.304
In  0.125  0.250  0.875
O  0.500  0.000  0.000
O  0.500  0.500  0.000
Ca  0.417  0.112  0.603
Ca  0.696  0.112  0.009
O  0.125  0.375  0.250
Ca  0.186  0.103  0.991
Ca  0.804  0.314  0.917
Ca  0.686  0.196  0.583
O  0.750  0.625  0.375
O  0.875  0.625  0.750